# PBE Pr6Er5Pu, relaxed
# - Total magnetization: 0.530 μB per atom
# - Crystal system: orthorhombic
# - Energy relative to the elements: 0.0545 eV/atom
# - DOS at the Fermi energy: 1.953 states/eV/atom
data_Pr6Er5Pu
_chemical_formula_sum 'Pr12 Er10 Pu2'
_symmetry_space_group_name_H-M 'I m m m'
_symmetry_Int_Tables_number 71
_symmetry_space_group_name_Hall '-I 2 2'
_cell_length_a 5.131
_cell_length_b 10.055
_cell_length_c 15.383
_cell_angle_alpha 90.00
_cell_angle_beta 90.00
_cell_angle_gamma 90.00
loop_
_atom_site_label
_atom_site_fract_x
_atom_site_fract_y
_atom_site_fract_z
Pr1 0.000 0.248 0.000
Pr2 0.000 0.252 0.335
Er1 0.000 0.000 0.166
Er2 0.000 0.000 0.500
Er3 0.000 0.500 0.167
Pu1 0.000 0.500 0.500